1.
Entry from Alexandria: crystalline AcHoScCd at its relaxed geometry (PBE).

Unit cell a=5.5501 b=5.5501 c=5.5501 alpha=60.00 beta=60.00 gamma=60.00
With the nearest neighbours (Å) after each atom.
Positions (direct):
1 Ac 0.0000 0.0000 0.0000  4 Cd 3.40, 4 Sc 3.40
2 Ho 0.5000 0.5000 0.5000  4 Cd 3.40, 4 Sc 3.40
3 Sc 0.2500 0.2500 0.2500  4 Ac 3.40, 4 Ho 3.40
4 Cd 0.7500 0.7500 0.7500  4 Ac 3.40, 4 Ho 3.40

- SG = No. 216
- calculated total energy (hartree per atom) = -0.14638
- density of states at the Fermi level (states/eV per atom) = 1.296
- theoretical density (Mg/m³) = 7.5

2.
Entry from Alexandria: crystalline ZrAlAg at its relaxed geometry (PBE).

Unit cell a=5.4277 b=5.4277 c=5.6218 alpha=90.00 beta=90.00 gamma=136.50
With the nearest neighbours (Å) after each atom.
Positions (direct):
1 Zr 0.2026 0.7974 0.7500  5 Al 2.84-3.03
2 Zr 0.7974 0.2026 0.2500  5 Al 2.84-3.03
3 Al 0.0984 0.9016 0.2500  4 Ag 2.65, 2 Zr 2.84
4 Al 0.9016 0.0984 0.7500  4 Ag 2.65, 2 Zr 2.84
5 Ag 0.5000 0.5000 0.0000  4 Al 2.65, 2 Ag 2.81
6 Ag 0.5000 0.5000 0.5000  4 Al 2.65, 2 Ag 2.81

- SG = No. 63
- calculated total energy (hartree per atom) = -0.19383
- density of states at the Fermi level (states/eV per atom) = 0.803
- theoretical density (Mg/m³) = 6.6

3.
Entry from Alexandria: crystalline K4ZnP2 at its relaxed geometry (PBE).

Unit cell a=9.3517 b=9.3517 c=9.3517 alpha=35.27 beta=35.27 gamma=35.27
With the nearest neighbours (Å) after each atom.
Positions (direct):
1 K 0.1140 0.1140 0.1140  3 P 3.38, 3 Zn 3.55, 3 K 3.78
2 K 0.2914 0.2914 0.2914  4 P 3.26-3.44
3 K 0.7086 0.7086 0.7086  4 P 3.26-3.44
4 K 0.8860 0.8860 0.8860  3 P 3.38, 3 Zn 3.55, 3 K 3.78
5 Zn 0.5000 0.5000 0.5000  2 P 2.22
6 P 0.4154 0.4154 0.4154  1 Zn 2.22
7 P 0.5846 0.5846 0.5846  1 Zn 2.22

- SG = No. 166
- E above lowest polymorph (eV/atom) = 0.000
- calculated total energy (hartree per atom) = -0.10129
- theoretical density (Mg/m³) = 1.9

4.
Entry from Alexandria: crystalline CeDyTh2 at its relaxed geometry (PBE).

Unit cell a=11.6934 b=11.6934 c=11.6934 alpha=17.36 beta=17.36 gamma=17.36
With the nearest neighbours (Å) after each atom.
Positions (direct):
1 Ce 0.0000 0.0000 0.0000  6 Th 3.47-3.51, 6 Ce 3.53
2 Dy 0.1690 0.1690 0.1690  6 Th 3.52-3.61, 6 Dy 3.53
3 Th 0.5855 0.5855 0.5855  3 Ce 3.47, 3 Dy 3.52, 6 Th 3.53
4 Th 0.7493 0.7493 0.7493  3 Ce 3.51, 6 Th 3.53, 3 Dy 3.61

- SG = No. 160
- E above lowest polymorph (eV/atom) = 0.013
- calculated total energy (hartree per atom) = -0.23154
- density of states at the Fermi level (states/eV per atom) = 1.660
- theoretical density (Mg/m³) = 10.3

no.,ΔH_f (0 K) (eV/atom)
1,0.000
2,-0.227
3,-0.401
4,0.043